(1)
Computed, not measured: a geometry-optimized SmDy4Hg4 structure at the PBE level of DFT.

Summary:
D(E_F): 7.606 states/eV/f.u.
formation energy: -256 meV/atom
space-group type: P4_2/n

Structure (extended XYZ):
```
18
Lattice="5.529 0.000 0.000 0.000 9.551 0.000 0.000 0.000 9.551" Properties=species:S:1:pos:R:3 pbc="T T T"
Hg 0.529 2.799 3.774
Hg 3.294 8.549 1.976
Hg 2.235 7.575 8.549
Hg 5.000 3.774 6.751
Hg 3.294 1.002 7.575
Hg 0.529 6.751 5.777
Hg 5.000 5.777 2.799
Hg 2.235 1.976 1.002
Dy 3.288 1.438 3.927
Dy 0.524 0.848 6.213
Dy 5.005 6.213 8.703
Dy 3.288 8.113 5.623
Dy 2.241 3.927 8.113
Dy 2.241 5.623 1.438
Dy 5.005 3.338 0.848
Dy 0.524 8.703 3.338
Sm 0.000 0.000 0.000
Sm 2.764 4.775 4.775
```


(2)
Computed, not measured: a geometry-optimized Sm2DyHg8 structure at the PBE level of DFT.

Summary:
D(E_F): 5.252 states/eV/f.u.
formation energy: -335 meV/atom
space-group type: C2/m

Structure (extended XYZ):
```
11
Lattice="-4.256 -1.398 -2.280 3.858 -2.926 -5.408 0.866 -4.782 6.858" Properties=species:S:1:pos:R:3 pbc="T T T"
Sm 1.996 -4.235 -1.129
Sm -1.528 -4.871 0.299
Hg 0.901 -5.162 -4.059
Hg -2.290 -6.729 2.861
Hg 0.276 -2.157 0.807
Hg 1.102 -6.049 1.651
Hg 2.758 -2.377 -3.691
Hg 0.191 -6.950 -1.637
Hg -0.434 -3.944 3.228
Hg -0.635 -3.057 -2.481
Dy -2.128 -0.699 -1.140
```


(3)
Computed, not measured: a geometry-optimized Sm3DyHg3 structure at the PBE level of DFT.

Summary:
D(E_F): 7.413 states/eV/f.u.
formation energy: -307 meV/atom
space-group type: Cmmm

Structure (extended XYZ):
```
14
Lattice="-4.481 3.106 5.117 -3.375 -6.520 1.417 4.928 -1.428 5.187" Properties=species:S:1:pos:R:3 pbc="T T T"
Sm -1.187 -4.827 4.935
Sm -1.740 -0.015 6.785
Sm -4.139 0.130 3.973
Sm -3.717 -3.544 2.560
Sm -3.186 -3.170 7.295
Sm 0.259 -1.672 4.425
Hg -2.436 -1.236 9.753
Hg -1.883 -6.048 7.903
Hg -4.270 -4.452 10.305
Hg -1.044 1.206 3.817
Hg 1.342 -0.390 1.415
Hg -0.491 -3.606 1.967
Dy -6.183 -2.689 5.146
Dy 3.256 -2.153 6.574
```


(4)
Computed, not measured: a geometry-optimized Sm2DyHg structure at the PBE level of DFT.

Summary:
D(E_F): 4.408 states/eV/f.u.
formation energy: -216 meV/atom
space-group type: P4/mmm

Structure (extended XYZ):
```
4
Lattice="-3.365 0.998 -1.092 -0.680 -3.453 -1.061 -3.188 -1.867 8.121" Properties=species:S:1:pos:R:3 pbc="T T T"
Dy -3.616 -2.161 2.984
Sm -0.714 -0.418 1.818
Sm -2.474 -1.449 6.303
Hg -2.022 -1.228 -1.076
```


(5)
Computed, not measured: a geometry-optimized SmDyHg6 structure at the PBE level of DFT.

Summary:
D(E_F): 5.316 states/eV/f.u.
formation energy: -359 meV/atom
space-group type: Amm2

Structure (extended XYZ):
```
8
Lattice="5.028 0.000 0.000 0.000 6.675 -0.176 0.000 -3.113 5.907" Properties=species:S:1:pos:R:3 pbc="T T T"
Hg 2.514 5.862 0.329
Hg 0.000 2.564 2.379
Hg 0.000 -0.740 2.410
Hg 2.514 4.268 3.235
Hg 2.514 2.551 0.472
Hg 0.000 1.074 5.328
Dy 2.514 0.911 3.406
Sm 0.000 -2.245 5.368
```


(6)
Computed, not measured: a geometry-optimized SmDy5Hg6 structure at the PBE level of DFT.

Summary:
D(E_F): 12.939 states/eV/f.u.
formation energy: -478 meV/atom
space-group type: P2/m

Structure (extended XYZ):
```
12
Lattice="5.153 0.002 -1.065 -0.003 7.494 -0.001 -0.939 0.000 8.289" Properties=species:S:1:pos:R:3 pbc="T T T"
Hg 1.635 5.588 7.756
Hg 0.548 5.592 2.619
Hg 3.661 5.594 4.603
Hg 0.550 1.903 2.620
Hg 3.662 1.905 4.604
Hg 2.576 1.909 -0.533
Dy -0.002 3.747 0.000
Dy 3.115 3.749 2.031
Dy 3.121 7.496 2.065
Dy 1.090 0.001 5.158
Dy 1.096 3.748 5.192
Sm 0.000 0.000 0.000
```


(7)
Computed, not measured: a geometry-optimized SmDy4Hg5 structure at the PBE level of DFT.

Summary:
D(E_F): 10.483 states/eV/f.u.
formation energy: -479 meV/atom
space-group type: P4/mmm

Structure (extended XYZ):
```
10
Lattice="3.731 0.000 0.000 0.000 3.731 0.000 0.000 0.000 18.741" Properties=species:S:1:pos:R:3 pbc="T T T"
Dy 0.000 0.000 14.943
Dy 0.000 0.000 3.797
Dy 0.000 0.000 7.515
Dy 0.000 0.000 11.225
Hg 1.865 1.865 1.984
Hg 1.865 1.865 5.655
Hg 1.865 1.865 13.086
Hg 1.865 1.865 16.757
Hg 1.865 1.865 9.370
Sm 0.000 0.000 0.000
```


(8)
Computed, not measured: a geometry-optimized Sm8DyHg6 structure at the PBE level of DFT.

Summary:
D(E_F): 18.445 states/eV/f.u.
formation energy: -248 meV/atom
space-group type: R-3

Structure (extended XYZ):
```
15
Lattice="9.067 0.000 0.000 4.533 7.852 0.000 4.533 2.617 6.441" Properties=species:S:1:pos:R:3 pbc="T T T"
Sm 10.605 7.831 4.229
Sm 7.528 2.638 2.212
Sm 12.084 5.201 2.212
Sm 10.546 2.604 4.229
Sm 9.067 5.235 6.420
Sm 7.587 7.865 2.212
Sm 6.049 5.269 4.229
Sm 9.067 5.235 0.021
Hg 7.580 7.896 5.387
Hg 7.505 2.617 5.387
Hg 10.553 2.573 1.054
Hg 10.628 7.853 1.054
Hg 6.019 5.278 1.054
Hg 12.115 5.191 5.387
Dy 0.000 0.000 0.000
```